A relaxed structure of Np2MnGe4Ir3. Source: the Alexandria database, functional PBE-GGA.

Energy of formation from the pure elements = -0.336 eV per atom
Calculated total energy = -8.35 eV per atom

Unit cell a=4.1572 b=4.1572 c=10.4468 alpha=90.00 beta=90.00 gamma=90.00
Site moments in Bohr magnetons follow the coordinates.
Positions (direct):
Ge 0.5000 0.0000 0.6343  -0.08
Ge 0.0000 0.0000 0.0000  0.00
Ge 0.0000 0.5000 0.3657  -0.08
Ge 0.5000 0.5000 0.0000  0.00
Np 0.5000 0.0000 0.2474  3.64
Np 0.0000 0.5000 0.7526  3.64
Ir 0.0000 0.5000 0.1313  -0.10
Ir 0.0000 0.0000 0.5000  -0.13
Ir 0.5000 0.0000 0.8687  -0.10
Mn 0.5000 0.5000 0.5000  2.76

=====

A relaxed structure of AlPRhCl2. Source: the Alexandria database, functional PBE-GGA.

Formation energy without anion corrections = 0.311 eV/atom
Calculated total energy = -3.73 eV per atom

Unit cell a=4.4670 b=4.4670 c=5.1066 alpha=90.00 beta=90.00 gamma=90.00
Site moments in Bohr magnetons follow the coordinates.
Positions (direct):
P 0.0000 0.0000 0.5000  0.07
Al 0.0000 0.0000 0.0000  0.00
Cl 0.0000 0.5000 0.0000  0.03
Cl 0.5000 0.0000 0.0000  0.03
Rh 0.5000 0.5000 0.5000  1.20

=====

A relaxed structure of MnTcSe2. Source: the Alexandria database, functional PBE-GGA.

Formation energy without anion corrections = -0.093 eV/atom
Calculated total energy = -6.72 eV per atom

Unit cell a=9.4443 b=9.4443 c=9.4443 alpha=19.31 beta=19.31 gamma=19.31
Site moments in Bohr magnetons follow the coordinates.
Positions (direct):
Mn 0.7534 0.7534 0.7534  3.18
Se 0.2217 0.2217 0.2217  0.01
Se 0.0289 0.0289 0.0289  -0.18
Tc 0.4961 0.4961 0.4961  -0.06

=====

A relaxed structure of SrLi2P. Source: the Alexandria database, functional PBE-GGA.

Energy of formation from the pure elements = -0.358 eV per atom
Calculated total energy = -3.09 eV per atom

Unit cell a=3.6440 b=3.6440 c=7.2070 alpha=90.00 beta=90.00 gamma=90.34
Positions (direct):
Li 0.0000 0.0000 0.0920
Li 0.5000 0.5000 0.2849
Sr 0.5000 0.5000 0.6859
P 0.0000 0.0000 0.4371